No. 1
This record from OQMD via LeMat-Bulk describes ErCuSi2Ag after structural relaxation. The functional is PBE.

Unit cell a=5.9295 b=5.9295 c=5.9295 alpha=140.10 beta=140.10 gamma=57.70
Closest atoms and distances in Å follow each position.
Positions (direct):
Si: 0.1395 0.6395 0.5000  1 Si 2.30, 2 Ag 2.49, 2 Cu 2.49
Er: 0.7500 0.2500 0.5000  8 Si 3.08, 4 Cu 3.29, 4 Ag 3.29
Si: 0.3605 0.8605 0.5000  1 Si 2.30, 2 Cu 2.49, 2 Ag 2.49
Ag: 0.0000 0.0000 0.0000  4 Si 2.49
Cu: 0.5000 0.5000 0.0000  4 Si 2.49

Computed properties:
- SG: No. 119
- E_tot: -4.827 eV/atom

***

No. 2
This record from OQMD via LeMat-Bulk describes ErTm2Zn3CuAg2 after structural relaxation. The functional is PBE.

Unit cell a=3.9486 b=7.2270 c=7.2270 alpha=120.04 beta=90.00 gamma=90.00
Closest atoms and distances in Å follow each position.
Positions (direct):
Zn: 0.5000 0.0003 0.7654  2 Cu 2.60, 2 Ag 2.82-2.84
Ag: 0.5000 0.6670 0.3325  3 Zn 2.82-2.84, 4 Tm 2.96, 2 Er 2.96
Zn: 0.5000 0.7654 0.0003  2 Cu 2.60, 2 Ag 2.82-2.84
Cu: 0.0000 0.0006 0.0006  6 Zn 2.60, 2 Tm 2.90, 1 Er 2.91
Zn: 0.5000 0.2347 0.2347  2 Cu 2.60, 2 Ag 2.84
Ag: 0.5000 0.3325 0.6670  3 Zn 2.82-2.84, 4 Tm 2.96, 2 Er 2.96
Er: 0.0000 0.5980 0.5980  1 Cu 2.91, 4 Ag 2.96, 4 Zn 3.21
Tm: 0.0000 0.0000 0.4017  1 Cu 2.90, 4 Ag 2.96, 4 Zn 3.20-3.21
Tm: 0.0000 0.4017 0.0000  1 Cu 2.90, 4 Ag 2.96, 4 Zn 3.20-3.21

Computed properties:
- SG: No. 38
- E_tot: -3.292 eV/atom